# Ac4Te2PPd PBE relaxed
# **Total magnetic moment**: 0.00 μB/f.u.
# **Energy relative to the elements, uncorrected**: -1.31 eV per atom
# **Total DFT energy (no corrections)**: -5.473 eV per atom
data_Ac4Te2PPd
_chemical_formula_sum 'Ac4 Te2 P1 Pd1'
_cell_length_a 7.962
_cell_length_b 4.492
_cell_length_c 8.152
_cell_angle_alpha 90.00
_cell_angle_beta 108.39
_cell_angle_gamma 90.00
_symmetry_space_group_name_H-M 'P 1'
_symmetry_Int_Tables_number 1
_symmetry_space_group_name_Hall 'P 1'
loop_
_atom_site_label
_atom_site_type_symbol
_atom_site_fract_x
_atom_site_fract_y
_atom_site_fract_z
Ac1 Ac 0.235 0.000 0.221
Ac2 Ac 0.260 0.500 0.782
Ac3 Ac 0.740 0.500 0.218
Ac4 Ac 0.765 0.000 0.779
Te1 Te 0.000 0.000 0.500
Te2 Te 0.500 0.500 0.500
P1 P 0.000 0.500 0.000
Pd1 Pd 0.500 0.000 0.000

***

# InNiAs2Br PBE relaxed
# **Total magnetic moment**: 0.00 μB/f.u.
# **Energy relative to the elements, uncorrected**: 0.14 eV per atom
# **Offset from the most stable computed form**: 0 meV/atom
# **Total DFT energy (no corrections)**: -3.755 eV per atom
data_InNiAs2Br
_chemical_formula_sum 'In1 Ni1 As2 Br1'
_cell_length_a 4.433
_cell_length_b 4.433
_cell_length_c 8.325
_cell_angle_alpha 90.00
_cell_angle_beta 90.00
_cell_angle_gamma 90.00
_symmetry_space_group_name_H-M 'P 1'
_symmetry_Int_Tables_number 1
_symmetry_space_group_name_Hall 'P 1'
loop_
_atom_site_label
_atom_site_type_symbol
_atom_site_fract_x
_atom_site_fract_y
_atom_site_fract_z
In1 In 0.000 0.000 0.000
Ni1 Ni 0.500 0.500 0.500
As1 As 0.000 0.500 0.500
As2 As 0.500 0.000 0.500
Br1 Br 0.500 0.500 0.000

***

# BeNbCu PBE relaxed
# **Total magnetic moment**: 0.00 μB/f.u.
# **Formation energy from the elements**: -0.0820 eV per atom
# **Offset from the most stable computed form**: 0 meV/atom
# **Total DFT energy (no corrections)**: -6.046 eV per atom
data_BeNbCu
_chemical_formula_sum 'Be2 Nb2 Cu2'
_cell_length_a 4.842
_cell_length_b 4.842
_cell_length_c 6.293
_cell_angle_alpha 124.27
_cell_angle_beta 124.27
_cell_angle_gamma 40.42
_symmetry_space_group_name_H-M 'P 1'
_symmetry_Int_Tables_number 1
_symmetry_space_group_name_Hall 'P 1'
loop_
_atom_site_label
_atom_site_type_symbol
_atom_site_fract_x
_atom_site_fract_y
_atom_site_fract_z
Be1 Be 0.135 0.135 0.174
Be2 Be 0.865 0.865 0.826
Nb1 Nb 0.417 0.417 0.168
Nb2 Nb 0.583 0.583 0.832
Cu1 Cu 0.176 0.176 0.577
Cu2 Cu 0.824 0.824 0.423

***

# Pr4MgSc PBE relaxed
# **Total magnetic moment**: 0.00 μB/f.u.
# **Formation energy from the elements**: 0.0001 eV per atom
# **Offset from the most stable computed form**: 0 meV/atom
# **Total DFT energy (no corrections)**: -4.507 eV per atom
data_Pr4MgSc
_chemical_formula_sum 'Pr4 Mg1 Sc1'
_cell_length_a 3.682
_cell_length_b 3.682
_cell_length_c 14.221
_cell_angle_alpha 90.00
_cell_angle_beta 90.00
_cell_angle_gamma 90.00
_symmetry_space_group_name_H-M 'P 1'
_symmetry_Int_Tables_number 1
_symmetry_space_group_name_Hall 'P 1'
loop_
_atom_site_label
_atom_site_type_symbol
_atom_site_fract_x
_atom_site_fract_y
_atom_site_fract_z
Pr1 Pr 0.000 0.000 0.157
Pr2 Pr 0.000 0.000 0.843
Pr3 Pr 0.500 0.500 0.338
Pr4 Pr 0.500 0.500 0.662
Mg1 Mg 0.500 0.500 0.000
Sc1 Sc 0.000 0.000 0.500

***

# TlInBi PBE relaxed
# **Total magnetic moment**: 0.00 μB/f.u.
# **Formation energy from the elements**: 0.0344 eV per atom
# **Offset from the most stable computed form**: 60 meV/atom
# **Total DFT energy (no corrections)**: -2.961 eV per atom
data_TlInBi
_chemical_formula_sum 'Tl1 In1 Bi1'
_cell_length_a 5.270
_cell_length_b 5.270
_cell_length_c 5.270
_cell_angle_alpha 60.00
_cell_angle_beta 60.00
_cell_angle_gamma 60.00
_symmetry_space_group_name_H-M 'P 1'
_symmetry_Int_Tables_number 1
_symmetry_space_group_name_Hall 'P 1'
loop_
_atom_site_label
_atom_site_type_symbol
_atom_site_fract_x
_atom_site_fract_y
_atom_site_fract_z
Tl1 Tl 0.000 0.000 0.000
In1 In 0.750 0.750 0.750
Bi1 Bi 0.500 0.500 0.500

***

# FeTc2Ag PBE relaxed
# **Total magnetic moment**: 2.58 μB/f.u.
# **Formation energy from the elements**: 0.3555 eV per atom
# **Offset from the most stable computed form**: 38 meV/atom
# **Total DFT energy (no corrections)**: -7.656 eV per atom
data_FeTc2Ag
_chemical_formula_sum 'Fe1 Tc2 Ag1'
_cell_length_a 2.624
_cell_length_b 2.624
_cell_length_c 9.070
_cell_angle_alpha 90.00
_cell_angle_beta 90.00
_cell_angle_gamma 108.91
_symmetry_space_group_name_H-M 'P 1'
_symmetry_Int_Tables_number 1
_symmetry_space_group_name_Hall 'P 1'
loop_
_atom_site_label
_atom_site_type_symbol
_atom_site_fract_x
_atom_site_fract_y
_atom_site_fract_z
Fe1 Fe 0.000 0.000 0.000
Tc1 Tc 0.500 0.500 0.227
Tc2 Tc 0.500 0.500 0.773
Ag1 Ag 0.000 0.000 0.500

***

# NiMo2HPd PBE relaxed
# **Total magnetic moment**: 0.00 μB/f.u.
# **Offset from the most stable computed form**: 39 meV/atom
# **Total DFT energy (no corrections)**: -7.091 eV per atom
data_NiMo2HPd
_chemical_formula_sum 'Ni1 Mo2 H1 Pd1'
_cell_length_a 3.861
_cell_length_b 3.861
_cell_length_c 4.063
_cell_angle_alpha 90.00
_cell_angle_beta 90.00
_cell_angle_gamma 90.00
_symmetry_space_group_name_H-M 'P 1'
_symmetry_Int_Tables_number 1
_symmetry_space_group_name_Hall 'P 1'
loop_
_atom_site_label
_atom_site_type_symbol
_atom_site_fract_x
_atom_site_fract_y
_atom_site_fract_z
Ni1 Ni 0.000 0.000 0.000
Mo1 Mo 0.000 0.500 0.500
Mo2 Mo 0.500 0.000 0.500
H1 H 0.500 0.500 0.500
Pd1 Pd 0.500 0.500 0.000

***

# Zn3CuOs PBE relaxed
# **Total magnetic moment**: 0.00 μB/f.u.
# **Formation energy from the elements**: 0.9476 eV per atom
# **Offset from the most stable computed form**: 0 meV/atom
# **Total DFT energy (no corrections)**: -2.882 eV per atom
data_Zn3CuOs
_chemical_formula_sum 'Zn3 Cu1 Os1'
_cell_length_a 4.776
_cell_length_b 4.776
_cell_length_c 4.776
_cell_angle_alpha 90.00
_cell_angle_beta 90.00
_cell_angle_gamma 90.00
_symmetry_space_group_name_H-M 'P 1'
_symmetry_Int_Tables_number 1
_symmetry_space_group_name_Hall 'P 1'
loop_
_atom_site_label
_atom_site_type_symbol
_atom_site_fract_x
_atom_site_fract_y
_atom_site_fract_z
Zn1 Zn 0.000 0.000 0.500
Zn2 Zn 0.000 0.500 0.000
Zn3 Zn 0.500 0.000 0.000
Cu1 Cu 0.500 0.500 0.500
Os1 Os 0.000 0.000 0.000